First-principles (PBE) data for crystalline ScZn4Pd5 at its relaxed geometry, as listed in Alexandria via LeMat-Bulk.

Structure (POSCAR):
```
ScZn4Pd5
1.0
3.1487 0.0000 0.0000
0.0000 3.1487 0.0000
0.0000 0.0000 15.2903
Zn Pd Sc
4 5 1
direct
0.0000 0.0000 0.5969 Zn
0.0000 0.0000 0.4031 Zn
0.0000 0.0000 0.2094 Zn
0.0000 0.0000 0.7906 Zn
0.5000 0.5000 0.8892 Pd
0.5000 0.5000 0.3058 Pd
0.5000 0.5000 0.1108 Pd
0.5000 0.5000 0.5000 Pd
0.5000 0.5000 0.6942 Pd
0.0000 0.0000 0.0000 Sc
```

First-principles (PBE) data for crystalline ScZn2Pd at its relaxed geometry, as listed in Alexandria via LeMat-Bulk.

Structure (POSCAR):
```
ScZn2Pd
1.0
-2.4938 -0.7414 2.0124
1.1228 -3.0809 0.2563
3.4045 1.6421 4.8240
Pd Zn Sc
1 2 1
direct
0.5000 0.5000 0.0000 Pd
0.0000 0.0000 0.2183 Zn
0.0000 0.0000 0.7817 Zn
0.5000 0.5000 0.5000 Sc
```

First-principles (PBE) data for crystalline ScZn7Pd4 at its relaxed geometry, as listed in Alexandria via LeMat-Bulk.

Structure (POSCAR):
```
ScZn7Pd4
1.0
4.8208 0.0000 0.0000
2.4104 7.9333 -0.2274
2.4104 0.0899 5.1029
Zn Sc Pd
7 1 4
direct
0.7813 0.9034 0.5341 Zn
0.9632 0.3718 0.7019 Zn
0.5000 0.0000 0.0000 Zn
0.0368 0.6282 0.2981 Zn
0.6630 0.4426 0.2313 Zn
0.2187 0.0966 0.4659 Zn
0.3370 0.5574 0.7687 Zn
0.0000 0.0000 0.0000 Sc
0.4055 0.7786 0.4105 Pd
0.5945 0.2214 0.5895 Pd
0.7208 0.6776 0.8809 Pd
0.2792 0.3224 0.1191 Pd
```

First-principles (PBE) data for crystalline Sc2Zn15Pd2 at its relaxed geometry, as listed in Alexandria via LeMat-Bulk.

Structure (POSCAR):
```
Sc2Zn15Pd2
1.0
-3.0130 -2.6076 5.4030
0.9813 -6.4675 -1.5096
5.5243 -0.9156 3.7033
Zn Sc Pd
15 2 2
direct
0.7065 0.0000 0.2935 Zn
0.2935 0.7065 0.0000 Zn
0.1580 0.6441 0.6441 Zn
0.5000 0.0000 0.0000 Zn
0.0000 0.0000 0.5000 Zn
0.0000 0.5000 0.0000 Zn
0.3559 0.8420 0.3559 Zn
0.0000 0.2935 0.7065 Zn
0.0000 0.7065 0.2935 Zn
0.6441 0.6441 0.1580 Zn
0.2935 0.0000 0.7065 Zn
0.6441 0.1580 0.6441 Zn
0.7065 0.2935 0.0000 Zn
0.8420 0.3559 0.3559 Zn
0.3559 0.3559 0.8420 Zn
0.6666 0.6666 0.6666 Sc
0.3334 0.3334 0.3334 Sc
0.1108 0.1108 0.1108 Pd
0.8892 0.8892 0.8892 Pd
```

First-principles (PBE) data for crystalline ScZnPd2 at its relaxed geometry, as listed in Alexandria via LeMat-Bulk.

Structure (POSCAR):
```
ScZnPd2
1.0
-1.8137 -3.5513 -4.2211
5.0187 -2.9065 0.2889
-0.6614 -6.7471 1.9667
Sc Pd Zn
2 4 2
direct
0.5000 0.5000 0.0000 Sc
0.2500 0.7500 0.5000 Sc
0.6423 0.1250 0.2500 Pd
0.8750 0.8923 0.7500 Pd
0.1077 0.6250 0.2500 Pd
0.3750 0.3577 0.7500 Pd
0.0000 0.0000 0.0000 Zn
0.7500 0.2500 0.5000 Zn
```

First-principles (PBE) data for crystalline ScZn3Pd at its relaxed geometry, as listed in Alexandria via LeMat-Bulk.

Structure (POSCAR):
```
ScZn3Pd
1.0
5.0870 0.0000 0.0000
0.0000 5.0870 0.0000
0.0000 0.0000 5.0870
Zn Pd Sc
3 1 1
direct
0.5000 0.0000 0.0000 Zn
0.0000 0.0000 0.5000 Zn
0.0000 0.5000 0.0000 Zn
0.5000 0.5000 0.5000 Pd
0.0000 0.0000 0.0000 Sc
```

First-principles (PBE) data for crystalline Sc2Zn2Pd at its relaxed geometry, as listed in Alexandria via LeMat-Bulk.

Structure (POSCAR):
```
Sc2Zn2Pd
1.0
-4.5424 5.1735 -0.5239
-5.1519 -4.3830 1.3857
0.3887 0.7173 3.7138
Pd Zn Sc
2 4 4
direct
0.5000 0.5000 0.0000 Pd
0.0000 0.0000 0.0000 Pd
0.1289 0.3711 0.0000 Zn
0.8711 0.6289 0.0000 Zn
0.6289 0.1289 0.0000 Zn
0.3711 0.8711 0.0000 Zn
0.6728 0.8272 0.5000 Sc
0.1728 0.6728 0.5000 Sc
0.3272 0.1728 0.5000 Sc
0.8272 0.3272 0.5000 Sc
```

First-principles (PBE) data for crystalline Sc2Zn2Pd at its relaxed geometry, as listed in Alexandria via LeMat-Bulk.

Structure (POSCAR):
```
Sc2Zn2Pd
1.0
-1.3969 -1.4993 -2.4737
2.6037 -3.1174 0.4191
-3.0090 -4.5853 4.4782
Pd Sc Zn
1 2 2
direct
0.0000 0.0000 0.0000 Pd
0.5000 0.3884 0.2232 Sc
0.5000 0.6116 0.7768 Sc
0.0000 0.1988 0.6024 Zn
0.0000 0.8012 0.3976 Zn
```

First-principles (PBE) data for crystalline Sc2Zn7Pd at its relaxed geometry, as listed in Alexandria via LeMat-Bulk.

Structure (POSCAR):
```
Sc2Zn7Pd
1.0
6.5629 0.0000 0.0000
3.2814 5.6836 0.0000
3.2814 1.8945 5.3586
Zn Sc Pd
7 2 1
direct
0.7466 0.2534 0.7466 Zn
0.7466 0.2534 0.2534 Zn
0.5000 0.5000 0.5000 Zn
0.2534 0.7466 0.7466 Zn
0.7466 0.7466 0.2534 Zn
0.2534 0.7466 0.2534 Zn
0.2534 0.2534 0.7466 Zn
0.2500 0.2500 0.2500 Sc
0.7500 0.7500 0.7500 Sc
0.0000 0.0000 0.0000 Pd
```

First-principles (PBE) data for crystalline ScZn23Pd6 at its relaxed geometry, as listed in Alexandria via LeMat-Bulk.

Structure (POSCAR):
```
ScZn23Pd6
1.0
7.4495 0.0000 4.3010
2.4832 7.0234 4.3010
0.0000 0.0000 8.6019
Zn Pd Sc
23 6 1
direct
0.1258 0.1258 0.1258 Zn
0.3773 0.8742 0.8742 Zn
0.3563 0.9312 0.3563 Zn
0.6437 0.6437 0.0688 Zn
0.0688 0.6437 0.6437 Zn
0.3563 0.3563 0.3563 Zn
0.8742 0.8742 0.3773 Zn
0.0000 0.0000 0.0000 Zn
0.8742 0.8742 0.8742 Zn
0.5000 0.0000 0.0000 Zn
0.6437 0.0688 0.6437 Zn
0.5000 0.5000 0.0000 Zn
0.6227 0.1258 0.1258 Zn
0.8742 0.3773 0.8742 Zn
0.1258 0.6227 0.1258 Zn
0.9312 0.3563 0.3563 Zn
0.0000 0.0000 0.5000 Zn
0.1258 0.1258 0.6227 Zn
0.3563 0.3563 0.9312 Zn
0.0000 0.5000 0.5000 Zn
0.0000 0.5000 0.0000 Zn
0.6437 0.6437 0.6437 Zn
0.5000 0.0000 0.5000 Zn
0.7376 0.7376 0.2624 Pd
0.2624 0.7376 0.7376 Pd
0.7376 0.2624 0.2624 Pd
0.7376 0.2624 0.7376 Pd
0.2624 0.7376 0.2624 Pd
0.2624 0.2624 0.7376 Pd
0.5000 0.5000 0.5000 Sc
```

First-principles (PBE) data for crystalline Sc4ZnPd7 at its relaxed geometry, as listed in Alexandria via LeMat-Bulk.

Structure (POSCAR):
```
Sc4ZnPd7
1.0
4.8612 0.0000 0.0000
2.4306 8.6054 0.0869
2.4306 0.4294 5.2696
Pd Sc Zn
7 4 1
direct
0.2057 0.0876 0.5011 Pd
0.0785 0.6916 0.1514 Pd
0.7943 0.9124 0.4989 Pd
0.5000 0.0000 0.0000 Pd
0.9215 0.3084 0.8486 Pd
0.6326 0.4805 0.2543 Pd
0.3674 0.5195 0.7457 Pd
0.4103 0.7814 0.3981 Sc
0.7768 0.6484 0.7981 Sc
0.5897 0.2186 0.6019 Sc
0.2232 0.3516 0.2019 Sc
0.0000 0.0000 0.0000 Zn
```

First-principles (PBE) data for crystalline ScZn12Pd6 at its relaxed geometry, as listed in Alexandria via LeMat-Bulk.

Structure (POSCAR):
```
ScZn12Pd6
1.0
-1.0896 -1.7591 -6.8805
2.4027 -5.9495 3.2331
-6.4919 1.3118 2.7852
Zn Pd Sc
12 6 1
direct
0.3725 0.1338 0.3725 Zn
0.3725 0.3725 0.1338 Zn
0.5000 0.1109 0.8891 Zn
0.1338 0.3725 0.3725 Zn
0.1109 0.5000 0.8891 Zn
0.8891 0.5000 0.1109 Zn
0.8662 0.6275 0.6275 Zn
0.5000 0.8891 0.1109 Zn
0.8891 0.1109 0.5000 Zn
0.6275 0.8662 0.6275 Zn
0.1109 0.8891 0.5000 Zn
0.6275 0.6275 0.8662 Zn
0.2910 0.7122 0.2910 Pd
0.2910 0.2910 0.7122 Pd
0.7122 0.2910 0.2910 Pd
0.7090 0.7090 0.2878 Pd
0.7090 0.2878 0.7090 Pd
0.2878 0.7090 0.7090 Pd
0.0000 0.0000 0.0000 Sc
```

First-principles (PBE) data for crystalline Sc2ZnPd9 at its relaxed geometry, as listed in Alexandria via LeMat-Bulk.

Structure (POSCAR):
```
Sc2ZnPd9
1.0
-0.7930 3.8180 0.7949
-2.0718 0.2748 -3.3868
-9.8945 -3.2602 5.7884
Pd Zn Sc
9 1 2
direct
0.0000 0.5000 0.8382 Pd
0.0000 0.5000 0.1618 Pd
0.5000 0.0000 0.5000 Pd
0.5000 0.0000 0.1618 Pd
0.5000 0.5000 0.0000 Pd
0.0000 0.5000 0.5000 Pd
0.5000 0.5000 0.6680 Pd
0.5000 0.0000 0.8382 Pd
0.5000 0.5000 0.3320 Pd
0.0000 0.0000 0.0000 Zn
0.0000 0.0000 0.6721 Sc
0.0000 0.0000 0.3279 Sc
```

First-principles (PBE) data for crystalline Sc2Zn2Pd at its relaxed geometry, as listed in Alexandria via LeMat-Bulk.

Structure (POSCAR):
```
Sc2Zn2Pd
1.0
3.4655 0.0000 0.0000
0.0000 3.4655 0.0000
1.7328 1.7328 8.1061
Sc Zn Pd
2 2 1
direct
0.4045 0.4045 0.1911 Sc
0.5955 0.5955 0.8089 Sc
0.2500 0.7500 0.5000 Zn
0.7500 0.2500 0.5000 Zn
0.0000 0.0000 0.0000 Pd
```

First-principles (PBE) data for crystalline Sc2Zn4Pd3 at its relaxed geometry, as listed in Alexandria via LeMat-Bulk.

Structure (POSCAR):
```
Sc2Zn4Pd3
1.0
-0.4990 1.2470 3.7722
1.0937 -3.3644 3.3821
7.9303 1.5836 2.6508
Pd Zn Sc
3 4 2
direct
0.3323 0.7646 0.5708 Pd
0.0000 0.0000 0.0000 Pd
0.6677 0.2354 0.4292 Pd
0.6649 0.5633 0.1070 Zn
0.0092 0.3306 0.6511 Zn
0.3351 0.4367 0.8930 Zn
0.9908 0.6694 0.3489 Zn
0.3291 0.1095 0.2324 Sc
0.6709 0.8905 0.7676 Sc
```

First-principles (PBE) data for crystalline Sc4Zn3Pd at its relaxed geometry, as listed in Alexandria via LeMat-Bulk.

Structure (POSCAR):
```
Sc4Zn3Pd
1.0
-1.1315 -0.3174 -3.1345
-2.5489 -1.8652 1.1090
-7.3394 10.9459 1.5410
Sc Pd Zn
4 1 3
direct
0.0000 0.0000 0.1230 Sc
0.0000 0.0000 0.8770 Sc
0.0000 0.0000 0.3737 Sc
0.0000 0.0000 0.6263 Sc
0.5000 0.5000 0.0000 Pd
0.5000 0.5000 0.7503 Zn
0.5000 0.5000 0.2497 Zn
0.5000 0.5000 0.5000 Zn
```

First-principles (PBE) data for crystalline Sc2ZnPd3 at its relaxed geometry, as listed in Alexandria via LeMat-Bulk.

Structure (POSCAR):
```
Sc2ZnPd3
1.0
-1.8328 1.1902 4.0215
1.4778 -4.2805 -0.6641
10.0973 2.9054 3.7420
Sc Zn Pd
4 2 6
direct
0.0000 0.0000 0.0000 Sc
0.3333 0.6667 0.1800 Sc
0.0000 0.0000 0.5000 Sc
0.6667 0.3333 0.8200 Sc
0.6667 0.3333 0.3328 Zn
0.3333 0.6667 0.6672 Zn
0.0000 0.0000 0.7479 Pd
0.6667 0.3333 0.0837 Pd
0.3333 0.6667 0.4235 Pd
0.3333 0.6667 0.9163 Pd
0.0000 0.0000 0.2521 Pd
0.6667 0.3333 0.5765 Pd
```

First-principles (PBE) data for crystalline Sc2ZnPd6 at its relaxed geometry, as listed in Alexandria via LeMat-Bulk.

Structure (POSCAR):
```
Sc2ZnPd6
1.0
-0.9188 -2.1572 -4.0224
6.6178 2.0341 -2.6025
-1.0780 -3.6524 4.9144
Sc Pd Zn
2 6 1
direct
0.3207 0.3220 0.6440 Sc
0.6793 0.6780 0.3560 Sc
0.1598 0.8562 0.3186 Pd
0.8402 0.1438 0.6814 Pd
0.5000 0.8073 0.0000 Pd
0.1598 0.4624 0.3186 Pd
0.8402 0.5376 0.6814 Pd
0.5000 0.1927 0.0000 Pd
0.0000 0.0000 0.0000 Zn
```

First-principles (PBE) data for crystalline ScZn6Pd12 at its relaxed geometry, as listed in Alexandria via LeMat-Bulk.

Structure (POSCAR):
```
ScZn6Pd12
1.0
6.9748 -0.1844 -0.2209
-1.2397 6.8662 -0.2209
-1.2397 -1.4443 6.7162
Pd Zn Sc
12 6 1
direct
0.1806 0.5329 0.6303 Pd
0.9879 0.8379 0.3161 Pd
0.3161 0.9879 0.8379 Pd
0.3697 0.8194 0.4671 Pd
0.8194 0.4671 0.3697 Pd
0.6839 0.0121 0.1621 Pd
0.8379 0.3161 0.9879 Pd
0.1621 0.6839 0.0121 Pd
0.4671 0.3697 0.8194 Pd
0.6303 0.1806 0.5329 Pd
0.5329 0.6303 0.1806 Pd
0.0121 0.1621 0.6839 Pd
0.1744 0.4564 0.2552 Zn
0.7448 0.8256 0.5436 Zn
0.5436 0.7448 0.8256 Zn
0.2552 0.1744 0.4564 Zn
0.4564 0.2552 0.1744 Zn
0.8256 0.5436 0.7448 Zn
0.0000 0.0000 0.0000 Sc
```

First-principles (PBE) data for crystalline ScZn3Pd at its relaxed geometry, as listed in Alexandria via LeMat-Bulk.

Structure (POSCAR):
```
ScZn3Pd
1.0
6.2835 0.0000 0.0000
0.0000 6.2835 0.0000
0.0000 0.0000 6.2835
Zn Sc Pd
9 3 3
direct
0.2206 0.7794 0.2206 Zn
0.7794 0.2206 0.7794 Zn
0.5000 0.5000 0.5000 Zn
0.2206 0.7794 0.7794 Zn
0.7794 0.2206 0.2206 Zn
0.7794 0.7794 0.2206 Zn
0.7794 0.7794 0.7794 Zn
0.2206 0.2206 0.2206 Zn
0.2206 0.2206 0.7794 Zn
0.5000 0.5000 0.0000 Sc
0.5000 0.0000 0.5000 Sc
0.0000 0.5000 0.5000 Sc
0.0000 0.0000 0.5000 Pd
0.0000 0.5000 0.0000 Pd
0.5000 0.0000 0.0000 Pd
```

First-principles (PBE) data for crystalline Sc2Zn6Pd at its relaxed geometry, as listed in Alexandria via LeMat-Bulk.

Structure (POSCAR):
```
Sc2Zn6Pd
1.0
5.5839 0.0000 0.0000
-2.7919 4.4764 0.7661
0.0000 -0.3102 5.9722
Zn Sc Pd
6 2 1
direct
0.1595 0.3190 0.3118 Zn
0.6303 0.7963 0.3448 Zn
0.8340 0.2037 0.6552 Zn
0.3697 0.2037 0.6552 Zn
0.8405 0.6810 0.6882 Zn
0.1660 0.7963 0.3448 Zn
0.3372 0.6743 0.8713 Sc
0.6628 0.3257 0.1287 Sc
0.0000 0.0000 0.0000 Pd
```

Number 1: uncorrected energy -4.360 eV/atom. Number 2: uncorrected energy -3.970 eV/atom. Number 3: uncorrected energy -3.235 eV/atom. Number 4: uncorrected energy -2.479 eV/atom. Number 5: uncorrected energy -4.433 eV/atom. Number 6: uncorrected energy -2.078 eV/atom. Number 7: uncorrected energy -4.538 eV/atom. Number 8: uncorrected energy -4.570 eV/atom. Number 9: uncorrected energy -2.569 eV/atom. Number 10: uncorrected energy -2.467 eV/atom. Number 11: uncorrected energy -5.874 eV/atom. Number 12: uncorrected energy -3.055 eV/atom. Number 13: uncorrected energy -5.720 eV/atom. Number 14: uncorrected energy -4.335 eV/atom. Number 15: uncorrected energy -4.297 eV/atom. Number 16: uncorrected energy -4.801 eV/atom. Number 17: uncorrected energy -5.732 eV/atom. Number 18: uncorrected energy -5.583 eV/atom. Number 19: uncorrected energy -4.262 eV/atom. Number 20: uncorrected energy -3.539 eV/atom. Number 21: uncorrected energy -3.176 eV/atom.